# Pm2Al

Pm2Al after structural relaxation (GGA-PBE, OQMD via LeMat-Bulk).

## Properties
The value obtained for the total moment is 0.0 μB per formula unit. The calculation puts the raw total energy at -4.052 eV/atom.

abc: 6.294 6.294 6.294
angles: 60.00 60.00 60.00
Sites, in units of the cell vectors:
Pm  0.000  0.000  0.000
Pm  0.000  0.000  0.500
Pm  0.000  0.500  0.000
Pm  0.500  0.000  0.000
Al  0.375  0.375  0.375
Al  0.625  0.625  0.625


# GdErAl4Pd2

GdErAl4Pd2 after structural relaxation (GGA-PBE, OQMD via LeMat-Bulk).

## Properties
The value obtained for the total moment is 0.0 μB per formula unit. The calculation puts the raw total energy at -5.109 eV/atom.

abc: 6.946 4.291 10.231
angles: 90.00 90.00 90.00
Sites, in units of the cell vectors:
Gd  0.000  0.000  0.000
Gd  0.000  0.500  0.500
Er  0.500  0.000  0.857
Er  0.500  0.500  0.357
Al  0.198  0.000  0.288
Al  0.198  0.500  0.788
Al  0.305  0.000  0.571
Al  0.305  0.500  0.071
Al  0.695  0.000  0.571
Al  0.695  0.500  0.071
Al  0.802  0.000  0.288
Al  0.802  0.500  0.788
Pd  0.000  0.000  0.718
Pd  0.000  0.500  0.218
Pd  0.500  0.000  0.139
Pd  0.500  0.500  0.639


# ScCoBMo

ScCoBMo after structural relaxation (GGA-PBE, OQMD via LeMat-Bulk).

## Properties
The value obtained for the total moment is 0.0 μB per formula unit. The calculation puts the raw total energy at -7.256 eV/atom.

abc: 5.846 5.846 5.846
angles: 90.00 90.00 90.00
Sites, in units of the cell vectors:
Sc  0.000  0.000  0.000
Sc  0.000  0.500  0.500
Sc  0.500  0.000  0.500
Sc  0.500  0.500  0.000
Co  0.250  0.250  0.750
Co  0.250  0.750  0.250
Co  0.750  0.250  0.250
Co  0.750  0.750  0.750
B  0.000  0.000  0.500
B  0.000  0.500  0.000
B  0.500  0.000  0.000
B  0.500  0.500  0.500
Mo  0.250  0.250  0.250
Mo  0.250  0.750  0.750
Mo  0.750  0.250  0.750
Mo  0.750  0.750  0.250


# PrBePO

PrBePO after structural relaxation (GGA-PBE, OQMD via LeMat-Bulk).

## Properties
The value obtained for the total moment is 0.0 μB per formula unit. The calculation puts the raw total energy at -6.458 eV/atom.

abc: 4.193 6.085 5.634
angles: 90.00 90.00 90.00
Sites, in units of the cell vectors:
Pr  0.000  0.250  0.000
Pr  0.000  0.750  0.500
Be  0.500  0.118  0.603
Be  0.500  0.882  0.103
P  0.000  0.273  0.509
P  0.000  0.727  0.009
O  0.500  0.090  0.907
O  0.500  0.910  0.407


# CoOsPbAu

CoOsPbAu after structural relaxation (GGA-PBE, OQMD via LeMat-Bulk).

## Properties
The value obtained for the total moment is 1.6 μB per formula unit. The calculation puts the raw total energy at -5.575 eV/atom.

abc: 6.452 6.452 6.452
angles: 90.00 90.00 90.00
Sites, in units of the cell vectors:
Co  0.000  0.000  0.000
Co  0.000  0.500  0.500
Co  0.500  0.000  0.500
Co  0.500  0.500  0.000
Os  0.000  0.000  0.500
Os  0.000  0.500  0.000
Os  0.500  0.000  0.000
Os  0.500  0.500  0.500
Pb  0.250  0.250  0.750
Pb  0.250  0.750  0.250
Pb  0.750  0.250  0.250
Pb  0.750  0.750  0.750
Au  0.250  0.250  0.250
Au  0.250  0.750  0.750
Au  0.750  0.250  0.750
Au  0.750  0.750  0.250


# HfTlCu3Te4

HfTlCu3Te4 after structural relaxation (GGA-PBE, OQMD via LeMat-Bulk).

## Properties
The value obtained for the total moment is 0.0 μB per formula unit. The calculation puts the raw total energy at -4.215 eV/atom.

abc: 6.591 6.591 6.591
angles: 90.00 90.00 90.00
Sites, in units of the cell vectors:
Hf  0.000  0.000  0.000
Tl  0.500  0.500  0.500
Cu  0.000  0.000  0.500
Cu  0.000  0.500  0.000
Cu  0.500  0.000  0.000
Te  0.234  0.234  0.766
Te  0.234  0.766  0.234
Te  0.766  0.234  0.234
Te  0.766  0.766  0.766


# CuSbPdPt

CuSbPdPt after structural relaxation (GGA-PBE, OQMD via LeMat-Bulk).

## Properties
The value obtained for the total moment is 0.0 μB per formula unit. The calculation puts the raw total energy at -4.922 eV/atom.

abc: 6.408 6.408 6.408
angles: 90.00 90.00 90.00
Sites, in units of the cell vectors:
Cu  0.000  0.000  0.000
Cu  0.000  0.500  0.500
Cu  0.500  0.000  0.500
Cu  0.500  0.500  0.000
Sb  0.250  0.250  0.750
Sb  0.250  0.750  0.250
Sb  0.750  0.250  0.250
Sb  0.750  0.750  0.750
Pd  0.250  0.250  0.250
Pd  0.250  0.750  0.750
Pd  0.750  0.250  0.750
Pd  0.750  0.750  0.250
Pt  0.000  0.000  0.500
Pt  0.000  0.500  0.000
Pt  0.500  0.000  0.000
Pt  0.500  0.500  0.500


# Y2CoPd

Y2CoPd after structural relaxation (GGA-PBE, OQMD via LeMat-Bulk).

## Properties
The value obtained for the total moment is 0.0 μB per formula unit. The calculation puts the raw total energy at -6.343 eV/atom.

abc: 6.733 6.733 6.733
angles: 90.00 90.00 90.00
Sites, in units of the cell vectors:
Y  0.000  0.000  0.000
Y  0.000  0.500  0.500
Y  0.250  0.250  0.250
Y  0.250  0.750  0.750
Y  0.500  0.000  0.500
Y  0.500  0.500  0.000
Y  0.750  0.250  0.750
Y  0.750  0.750  0.250
Co  0.250  0.250  0.750
Co  0.250  0.750  0.250
Co  0.750  0.250  0.250
Co  0.750  0.750  0.750
Pd  0.000  0.000  0.500
Pd  0.000  0.500  0.000
Pd  0.500  0.000  0.000
Pd  0.500  0.500  0.500


# Lu4Cd3Mo2C3

Lu4Cd3Mo2C3 after structural relaxation (GGA-PBE, OQMD via LeMat-Bulk).

## Properties
The value obtained for the total moment is 0.0 μB per formula unit. The calculation puts the raw total energy at -6.170 eV/atom.

abc: 5.792 5.792 15.365
angles: 102.03 102.03 60.64
Sites, in units of the cell vectors:
Lu  0.049  0.185  0.091
Lu  0.119  0.300  0.409
Lu  0.185  0.049  0.591
Lu  0.300  0.119  0.909
Lu  0.700  0.881  0.091
Lu  0.815  0.951  0.409
Lu  0.881  0.700  0.591
Lu  0.951  0.815  0.909
Cd  0.140  0.860  0.250
Cd  0.295  0.423  0.754
Cd  0.423  0.295  0.254
Cd  0.577  0.705  0.746
Cd  0.705  0.577  0.246
Cd  0.860  0.140  0.750
Mo  0.344  0.523  0.064
Mo  0.477  0.656  0.436
Mo  0.523  0.344  0.564
Mo  0.656  0.477  0.936
C  0.000  0.500  0.000
C  0.191  0.655  0.500
C  0.345  0.809  0.000
C  0.500  0.000  0.500
C  0.655  0.191  0.000
C  0.809  0.345  0.500


# LiDyTlHg

LiDyTlHg after structural relaxation (GGA-PBE, OQMD via LeMat-Bulk).

## Properties
The value obtained for the total moment is 0.0 μB per formula unit. The calculation puts the raw total energy at -2.683 eV/atom.

abc: 7.191 7.191 7.191
angles: 90.00 90.00 90.00
Sites, in units of the cell vectors:
Li  0.000  0.000  0.000
Li  0.000  0.500  0.500
Li  0.500  0.000  0.500
Li  0.500  0.500  0.000
Dy  0.000  0.000  0.500
Dy  0.000  0.500  0.000
Dy  0.500  0.000  0.000
Dy  0.500  0.500  0.500
Tl  0.250  0.250  0.750
Tl  0.250  0.750  0.250
Tl  0.750  0.250  0.250
Tl  0.750  0.750  0.750
Hg  0.250  0.250  0.250
Hg  0.250  0.750  0.750
Hg  0.750  0.250  0.750
Hg  0.750  0.750  0.250


# BOs2Au

BOs2Au after structural relaxation (GGA-PBE, OQMD via LeMat-Bulk).

## Properties
The value obtained for the total moment is 0.0 μB per formula unit. The calculation puts the raw total energy at -6.807 eV/atom.

abc: 6.076 6.076 6.076
angles: 90.00 90.00 90.00
Sites, in units of the cell vectors:
B  0.000  0.000  0.000
B  0.000  0.500  0.500
B  0.500  0.000  0.500
B  0.500  0.500  0.000
Os  0.000  0.000  0.500
Os  0.000  0.500  0.000
Os  0.250  0.250  0.750
Os  0.250  0.750  0.250
Os  0.500  0.000  0.000
Os  0.500  0.500  0.500
Os  0.750  0.250  0.250
Os  0.750  0.750  0.750
Au  0.250  0.250  0.250
Au  0.250  0.750  0.750
Au  0.750  0.250  0.750
Au  0.750  0.750  0.250


# Th2ZnOs

Th2ZnOs after structural relaxation (GGA-PBE, OQMD via LeMat-Bulk).

## Properties
The value obtained for the total moment is 0.0 μB per formula unit. The calculation puts the raw total energy at -7.154 eV/atom.

abc: 6.036 4.360 7.945
angles: 90.00 111.07 90.00
Sites, in units of the cell vectors:
Th  0.216  0.250  0.443
Th  0.227  0.250  0.918
Th  0.773  0.750  0.082
Th  0.784  0.750  0.557
Zn  0.344  0.750  0.212
Zn  0.656  0.250  0.788
Os  0.326  0.750  0.712
Os  0.674  0.250  0.288